BaMn2Hg PBE-GGA optimized geometry; energy = -4.610 eV/atom; E above lowest polymorph = 183 meV per atom; formation energy from the elements = 0.53 eV/atom; mass density = 5929 kg/m³; SG = I4_1/amd, No. 141; density of states at the Fermi level = 19.9 states/eV/cell; V = 31.35 Å³/atom
1.0
5.144 0.000 0.000
0.000 5.144 0.000
0.000 0.000 18.958
Ba Mn Hg
4 8 4
Direct
0.000 0.250 0.375
0.000 0.750 0.625
0.500 0.250 0.125
0.500 0.750 0.875
0.000 0.000 0.000
0.000 0.500 0.000
0.250 0.250 0.750
0.250 0.750 0.250
0.500 0.000 0.500
0.500 0.500 0.500
0.750 0.250 0.750
0.750 0.750 0.250
0.000 0.250 0.875
0.000 0.750 0.125
0.500 0.250 0.625
0.500 0.750 0.375